A geometry-optimized ScMoBr2 structure. Source: Alexandria, functional GGA-PBE.

The energy above the most stable polymorph in this dataset comes out at 1.792 eV per formula unit. As for the energy relative to the elements, uncorrected: 89 meV/atom.

The space group is R-3m (No. 166, hexagonal axes) and the conventional cell measures 3.4377, 3.4377 and 30.2957 Å, with angles of 90.00, 90.00 and 120.00 degrees. The distinct sites, in fractional coordinates, are Sc at (0.0000, 0.0000, 0.0000), Mo at (0.0000, 0.0000, 0.5000) and Br at (0.0000, 0.0000, 0.2731).